DFT (PBE+U) results for a relaxed structure of SmEr2WO8.

Values from the calculation:
- Total magnetization: 0.070 μB/atom
- DFT total energy: -0.2907 hartree per atom

abc: 5.0233 5.0233 6.8916
angles: 90.00 90.00 90.57
Atoms (fractional coordinates):
Sm1 0.0000 0.0000 0.0000
Er1 0.5000 0.5000 0.2563
Er2 0.5000 0.5000 0.7437
W1 0.0000 0.0000 0.5000
O1 0.1856 0.8144 0.2914
O2 0.1856 0.8144 0.7086
O3 0.2782 0.2782 0.5000
O4 0.3163 0.3163 0.0000
O5 0.6837 0.6837 0.0000
O6 0.7218 0.7218 0.5000
O7 0.8144 0.1856 0.2914
O8 0.8144 0.1856 0.7086